Record 1
# TcSb4Mo | Alexandria | PBE | optimized geometry
data_TcSb4Mo
_chemical_formula_sum 'Tc1 Sb4 Mo1'
_cell_length_a 5.966
_cell_length_b 5.966
_cell_length_c 5.966
_cell_angle_alpha 60.00
_cell_angle_beta 60.00
_cell_angle_gamma 60.00
_symmetry_space_group_name_H-M 'P 1'
_symmetry_Int_Tables_number 1
_symmetry_space_group_name_Hall 'P 1'
loop_
_atom_site_label
_atom_site_type_symbol
_atom_site_fract_x
_atom_site_fract_y
_atom_site_fract_z
Sb1 Sb 0.375 0.375 0.875
Sb2 Sb 0.375 0.375 0.375
Mo1 Mo 0.000 0.000 0.000
Tc1 Tc 0.750 0.750 0.750
Sb3 Sb 0.375 0.875 0.375
Sb4 Sb 0.875 0.375 0.375
# Formation energy (no corrections) ... 1379 meV per atom
# Energy ... -29.415 eV for the cell shown
# M_tot ... 0.83 μB per atom
# Volume ... 150.2 Å³/cell

=====

Record 2
# La6Rh2SBr3 | Alexandria | PBE | optimized geometry
data_La6Rh2SBr3
_chemical_formula_sum 'La6 Rh2 S1 Br3'
_cell_length_a 7.319
_cell_length_b 7.319
_cell_length_c 8.086
_cell_angle_alpha 98.67
_cell_angle_beta 98.67
_cell_angle_gamma 119.94
_symmetry_space_group_name_H-M 'P 1'
_symmetry_Int_Tables_number 1
_symmetry_space_group_name_Hall 'P 1'
loop_
_atom_site_label
_atom_site_type_symbol
_atom_site_fract_x
_atom_site_fract_y
_atom_site_fract_z
La1 La 0.277 0.277 0.798
La2 La 0.932 0.588 0.797
S1 S 0.000 0.000 0.000
Br1 Br 0.500 0.500 0.500
Br2 Br 0.163 0.837 0.500
Br3 Br 0.837 0.163 0.500
La3 La 0.068 0.412 0.203
La4 La 0.723 0.723 0.202
Rh1 Rh 0.667 0.333 0.000
La5 La 0.588 0.932 0.797
La6 La 0.412 0.068 0.203
Rh2 Rh 0.333 0.667 0.000
# Formation energy (no corrections) ... -1332 meV per atom
# Energy ... -69.399 eV for the cell shown
# M_tot ... 0.00 μB per atom
# Volume ... 357.9 Å³/cell

=====

Record 3
# HfIr2Pt | Alexandria | PBE | optimized geometry
data_HfIr2Pt
_chemical_formula_sum 'Hf1 Ir2 Pt1'
_cell_length_a 4.526
_cell_length_b 4.526
_cell_length_c 4.526
_cell_angle_alpha 60.00
_cell_angle_beta 60.00
_cell_angle_gamma 60.00
_symmetry_space_group_name_H-M 'P 1'
_symmetry_Int_Tables_number 1
_symmetry_space_group_name_Hall 'P 1'
loop_
_atom_site_label
_atom_site_type_symbol
_atom_site_fract_x
_atom_site_fract_y
_atom_site_fract_z
Pt1 Pt 0.500 0.500 0.500
Ir1 Ir 0.250 0.250 0.250
Ir2 Ir 0.750 0.750 0.750
Hf1 Hf 0.000 0.000 0.000
# Energy ... -35.245 eV for the cell shown
# M_tot ... 0.00 μB per atom
# Volume ... 65.5 Å³/cell
# Energy of formation from the pure elements ... -147 kJ/mol of formula units

=====

Record 4
# MgSiRu | Alexandria | PBE | optimized geometry
data_MgSiRu
_chemical_formula_sum 'Mg1 Si1 Ru1'
_cell_length_a 4.114
_cell_length_b 4.114
_cell_length_c 4.114
_cell_angle_alpha 60.00
_cell_angle_beta 60.00
_cell_angle_gamma 60.00
_symmetry_space_group_name_H-M 'P 1'
_symmetry_Int_Tables_number 1
_symmetry_space_group_name_Hall 'P 1'
loop_
_atom_site_label
_atom_site_type_symbol
_atom_site_fract_x
_atom_site_fract_y
_atom_site_fract_z
Si1 Si 0.750 0.750 0.750
Mg1 Mg 0.000 0.000 0.000
Ru1 Ru 0.500 0.500 0.500
# Formation energy (no corrections) ... -139 meV per atom
# Energy ... -16.710 eV for the cell shown
# M_tot ... 0.00 μB per atom
# Volume ... 49.2 Å³/cell

=====

Record 5
# LaAl2Cr | Alexandria | PBE | optimized geometry
data_LaAl2Cr
_chemical_formula_sum 'La1 Al2 Cr1'
_cell_length_a 6.016
_cell_length_b 6.016
_cell_length_c 6.016
_cell_angle_alpha 149.77
_cell_angle_beta 130.94
_cell_angle_gamma 58.72
_symmetry_space_group_name_H-M 'P 1'
_symmetry_Int_Tables_number 1
_symmetry_space_group_name_Hall 'P 1'
loop_
_atom_site_label
_atom_site_type_symbol
_atom_site_fract_x
_atom_site_fract_y
_atom_site_fract_z
Cr1 Cr 0.750 0.250 0.500
La1 La 0.250 0.750 0.500
Al1 Al 0.535 0.535 0.000
Al2 Al 0.965 0.965 0.000
# Energy ... -21.441 eV for the cell shown
# M_tot ... 0.68 μB per atom
# Volume ... 82.2 Å³/cell
# Energy of formation from the pure elements ... 57 kJ/mol of formula units

=====

Record 6
# EuTmTe2 | Alexandria | PBE | optimized geometry
data_EuTmTe2
_chemical_formula_sum 'Eu1 Tm1 Te2'
_cell_length_a 4.417
_cell_length_b 4.417
_cell_length_c 7.785
_cell_angle_alpha 73.52
_cell_angle_beta 73.52
_cell_angle_gamma 60.00
_symmetry_space_group_name_H-M 'P 1'
_symmetry_Int_Tables_number 1
_symmetry_space_group_name_Hall 'P 1'
loop_
_atom_site_label
_atom_site_type_symbol
_atom_site_fract_x
_atom_site_fract_y
_atom_site_fract_z
Te1 Te 0.744 0.744 0.768
Te2 Te 0.256 0.256 0.232
Eu1 Eu 0.500 0.500 0.500
Tm1 Tm 0.000 0.000 0.000
# Formation energy (no corrections) ... -1444 meV per atom
# Energy ... -26.805 eV for the cell shown
# M_tot ... 1.76 μB per atom
# Volume ... 124.3 Å³/cell

=====

Record 7
# NpU2NbC4 | Alexandria | PBE | optimized geometry
data_NpU2NbC4
_chemical_formula_sum 'Np1 U2 Nb1 C4'
_cell_length_a 3.360
_cell_length_b 5.951
_cell_length_c 5.924
_cell_angle_alpha 108.96
_cell_angle_beta 90.00
_cell_angle_gamma 90.00
_symmetry_space_group_name_H-M 'P 1'
_symmetry_Int_Tables_number 1
_symmetry_space_group_name_Hall 'P 1'
loop_
_atom_site_label
_atom_site_type_symbol
_atom_site_fract_x
_atom_site_fract_y
_atom_site_fract_z
C1 C 0.500 0.268 0.240
Np1 Np 0.000 0.000 0.000
C2 C 0.000 0.734 0.235
C3 C 0.000 0.266 0.765
U1 U 0.500 0.000 0.500
U2 U 0.000 0.500 0.500
Nb1 Nb 0.500 0.500 0.000
C4 C 0.500 0.732 0.760
# Energy ... -84.146 eV for the cell shown
# M_tot ... 0.40 μB per atom
# Volume ... 112.0 Å³/cell
# Energy of formation from the pure elements ... -161 kJ/mol of formula units

=====

Record 8
# Ba4LaGe3SbSe13 | Alexandria | PBE | optimized geometry
data_Ba4LaGe3SbSe13
_chemical_formula_sum 'Ba16 La4 Ge12 Sb4 Se52'
_cell_length_a 12.707
_cell_length_b 13.254
_cell_length_c 16.661
_cell_angle_alpha 76.14
_cell_angle_beta 90.00
_cell_angle_gamma 90.00
_symmetry_space_group_name_H-M 'P 1'
_symmetry_Int_Tables_number 1
_symmetry_space_group_name_Hall 'P 1'
loop_
_atom_site_label
_atom_site_type_symbol
_atom_site_fract_x
_atom_site_fract_y
_atom_site_fract_z
Se1 Se 0.291 0.809 0.054
Se2 Se 0.729 0.897 0.151
Sb1 Sb 0.482 0.866 0.083
Se3 Se 0.876 0.654 0.524
Se4 Se 0.124 0.346 0.476
Se5 Se 0.458 0.398 0.835
Se6 Se 0.271 0.103 0.849
Ge1 Ge 0.618 0.075 0.672
Ge2 Ge 0.090 0.076 0.817
Se7 Se 0.284 0.407 0.663
Se8 Se 0.376 0.846 0.476
Sb2 Sb 0.982 0.634 0.917
Ba1 Ba 0.677 0.453 0.948
Se9 Se 0.434 0.358 0.498
Ba2 Ba 0.185 0.655 0.636
Ba3 Ba 0.685 0.845 0.364
Se10 Se 0.229 0.603 0.849
Se11 Se 0.218 0.987 0.261
La1 La 0.478 0.548 0.357
Ba4 Ba 0.830 0.269 0.743
Se12 Se 0.784 0.093 0.337
Se13 Se 0.441 0.786 0.269
Ba5 Ba 0.323 0.547 0.052
Se14 Se 0.991 0.156 0.907
La2 La 0.022 0.048 0.357
Ba6 Ba 0.177 0.047 0.052
Se15 Se 0.009 0.844 0.093
Se16 Se 0.554 0.338 0.322
Se17 Se 0.559 0.214 0.731
Se18 Se 0.509 0.656 0.907
Se19 Se 0.056 0.563 0.082
Se20 Se 0.934 0.142 0.502
Se21 Se 0.556 0.937 0.918
Se22 Se 0.491 0.344 0.093
Ge3 Ge 0.731 0.561 0.485
Se23 Se 0.209 0.309 0.054
Se24 Se 0.059 0.286 0.269
Se25 Se 0.986 0.550 0.318
Se26 Se 0.718 0.513 0.739
Ba7 Ba 0.815 0.345 0.364
Se27 Se 0.066 0.858 0.498
Ge4 Ge 0.269 0.439 0.515
Ge5 Ge 0.118 0.425 0.328
Ba8 Ba 0.823 0.953 0.948
Se28 Se 0.220 0.118 0.452
Ge6 Ge 0.231 0.939 0.515
Se29 Se 0.042 0.898 0.835
Se30 Se 0.941 0.714 0.731
Sb3 Sb 0.518 0.134 0.917
Ge7 Ge 0.382 0.925 0.328
Ge8 Ge 0.769 0.061 0.485
Ge9 Ge 0.882 0.575 0.672
Se31 Se 0.791 0.691 0.946
Se32 Se 0.514 0.050 0.318
La3 La 0.978 0.952 0.643
Se33 Se 0.054 0.162 0.678
Se34 Se 0.542 0.602 0.165
Se35 Se 0.946 0.838 0.322
Sb4 Sb 0.018 0.366 0.083
Ba9 Ba 0.672 0.146 0.151
Se36 Se 0.780 0.882 0.548
Se37 Se 0.771 0.397 0.151
Se38 Se 0.216 0.907 0.663
La4 La 0.522 0.452 0.643
Se39 Se 0.720 0.382 0.548
Se40 Se 0.709 0.191 0.946
Ba10 Ba 0.828 0.646 0.151
Se41 Se 0.446 0.662 0.678
Ba11 Ba 0.670 0.769 0.743
Se42 Se 0.014 0.450 0.682
Se43 Se 0.566 0.642 0.502
Ba12 Ba 0.330 0.231 0.257
Se44 Se 0.444 0.063 0.082
Ge10 Ge 0.910 0.924 0.183
Ge11 Ge 0.410 0.576 0.817
Ge12 Ge 0.590 0.424 0.183
Se45 Se 0.782 0.013 0.739
Se46 Se 0.958 0.102 0.165
Ba13 Ba 0.328 0.854 0.849
Se47 Se 0.624 0.154 0.524
Se48 Se 0.716 0.593 0.337
Se49 Se 0.280 0.618 0.452
Ba14 Ba 0.315 0.155 0.636
Ba15 Ba 0.170 0.731 0.257
Se50 Se 0.486 0.950 0.682
Se51 Se 0.944 0.437 0.918
Se52 Se 0.282 0.487 0.261
Ba16 Ba 0.172 0.354 0.849
# Formation energy (no corrections) ... -1187 meV per atom
# Energy ... -408.003 eV for the cell shown
# M_tot ... 0.00 μB per atom
# Volume ... 2724.4 Å³/cell

=====

energy of number 5 (LaAl2Cr)? -21.441 eV for the cell shown

=====

volume of number 7 (NpU2NbC4)? 112.0 Å³/cell

=====

Please write out number 6 again, unchanged.
# EuTmTe2 | Alexandria | PBE | optimized geometry
data_EuTmTe2
_chemical_formula_sum 'Eu1 Tm1 Te2'
_cell_length_a 4.417
_cell_length_b 4.417
_cell_length_c 7.785
_cell_angle_alpha 73.52
_cell_angle_beta 73.52
_cell_angle_gamma 60.00
_symmetry_space_group_name_H-M 'P 1'
_symmetry_Int_Tables_number 1
_symmetry_space_group_name_Hall 'P 1'
loop_
_atom_site_label
_atom_site_type_symbol
_atom_site_fract_x
_atom_site_fract_y
_atom_site_fract_z
Te1 Te 0.744 0.744 0.768
Te2 Te 0.256 0.256 0.232
Eu1 Eu 0.500 0.500 0.500
Tm1 Tm 0.000 0.000 0.000
# Formation energy (no corrections) ... -1444 meV per atom
# Energy ... -26.805 eV for the cell shown
# M_tot ... 1.76 μB per atom
# Volume ... 124.3 Å³/cell

=====

What is the formula in the fourth record? MgSiRu